*i*
DFT (PBE) results for HfZr2Sc3 after structural relaxation.

a = 6.4803 Å, b = 4.4973 Å, c = 9.6768 Å
α = 90.00°, β = 90.05°, γ = 90.00°
Sites, in units of the cell vectors:
Hf: 0.1155 0.2500 0.2499
Hf: 0.8845 0.7500 0.7501
Zr: 0.1142 0.2500 0.5834
Zr: 0.1143 0.2500 0.9164
Zr: 0.8857 0.7500 0.0836
Zr: 0.8858 0.7500 0.4166
Sc: 0.3652 0.7500 0.0844
Sc: 0.3652 0.7500 0.4154
Sc: 0.3680 0.7500 0.7499
Sc: 0.6320 0.2500 0.2501
Sc: 0.6348 0.2500 0.5846
Sc: 0.6348 0.2500 0.9156

***

*ii*
DFT (PBE) results for HfZr2Sc3 after structural relaxation.

a = 7.6290 Å, b = 3.2894 Å, c = 11.3798 Å
α = 90.00°, β = 90.32°, γ = 90.00°
Sites, in units of the cell vectors:
Hf: 0.1974 0.2500 0.2484
Hf: 0.8026 0.7500 0.7516
Zr: 0.0735 0.2500 0.8946
Zr: 0.3511 0.7500 0.4454
Zr: 0.6489 0.2500 0.5546
Zr: 0.9265 0.7500 0.1054
Sc: 0.0782 0.2500 0.6080
Sc: 0.3449 0.7500 0.0486
Sc: 0.3976 0.7500 0.7494
Sc: 0.6024 0.2500 0.2506
Sc: 0.6551 0.2500 0.9514
Sc: 0.9218 0.7500 0.3920

***

Relative energies with respect to the most stable structure, expressed in meV per atom: *i* 0; *ii* 18.

***

*i*
DFT (PBE) results for Hf2Zr3Sc after structural relaxation.

a = 8.2112 Å, b = 8.2112 Å, c = 6.1854 Å
α = 90.00°, β = 90.00°, γ = 41.98°
Sites, in units of the cell vectors:
Hf: 0.1520 0.1520 0.0000
Hf: 0.1520 0.1520 0.5000
Hf: 0.8480 0.8480 0.0000
Hf: 0.8480 0.8480 0.5000
Zr: 0.2047 0.7953 0.7500
Zr: 0.2926 0.3519 0.7500
Zr: 0.3519 0.2926 0.2500
Zr: 0.6481 0.7074 0.7500
Zr: 0.7074 0.6481 0.2500
Zr: 0.7953 0.2047 0.2500
Sc: 0.2848 0.7152 0.2500
Sc: 0.7152 0.2848 0.7500

***

*ii*
DFT (PBE) results for Hf2Zr3Sc after structural relaxation.

a = 10.4212 Å, b = 10.4212 Å, c = 9.2174 Å
α = 107.08°, β = 107.08°, γ = 17.09°
Sites, in units of the cell vectors:
Hf: 0.0709 0.0709 0.1433
Hf: 0.3081 0.3081 0.6283
Hf: 0.6919 0.6919 0.3717
Hf: 0.9291 0.9291 0.8567
Zr: 0.0661 0.0661 0.7844
Zr: 0.3073 0.3073 0.2895
Zr: 0.4427 0.4427 0.5681
Zr: 0.5573 0.5573 0.4319
Zr: 0.6927 0.6927 0.7105
Zr: 0.9339 0.9339 0.2156
Sc: 0.3115 0.3115 0.9593
Sc: 0.6885 0.6885 0.0407

***

Relative energies with respect to the most stable structure, expressed in meV per atom: *i* 11; *ii* 0.

***

*i*
DFT (PBE) results for HfZr5Sc4 after structural relaxation.

a = 7.8175 Å, b = 7.8175 Å, c = 10.0527 Å
α = 90.06°, β = 90.06°, γ = 23.30°
Sites, in units of the cell vectors:
Hf: 0.0000 0.0000 0.0000
Zr: 0.0000 0.0000 0.5000
Zr: 0.3257 0.3257 0.4483
Zr: 0.3266 0.3266 0.0522
Zr: 0.6734 0.6734 0.9478
Zr: 0.6743 0.6743 0.5517
Sc: 0.1545 0.1545 0.2484
Sc: 0.4718 0.4718 0.2498
Sc: 0.5282 0.5282 0.7502
Sc: 0.8455 0.8455 0.7516

***

*ii*
DFT (PBE) results for HfZr5Sc4 after structural relaxation.

a = 7.1563 Å, b = 7.1563 Å, c = 7.1563 Å
α = 98.91°, β = 98.91°, γ = 133.65°
Sites, in units of the cell vectors:
Hf: 0.0000 0.0000 0.0000
Zr: 0.0747 0.0747 0.6283
Zr: 0.0747 0.4464 0.0000
Zr: 0.4464 0.0747 0.0000
Zr: 0.4464 0.4464 0.3717
Zr: 0.5343 0.5343 0.0000
Sc: 0.1017 0.7857 0.3160
Sc: 0.4697 0.7857 0.6840
Sc: 0.7857 0.1017 0.3160
Sc: 0.7857 0.4697 0.6840

***

Relative energies with respect to the most stable structure, expressed in meV per atom: *i* 0; *ii* 88.

***

*i*
DFT (PBE) results for Hf2Zr2Sc3 after structural relaxation.

a = 7.9704 Å, b = 7.9704 Å, c = 7.7521 Å
α = 118.11°, β = 118.11°, γ = 22.36°
Sites, in units of the cell vectors:
Hf: 0.1491 0.1491 0.4640
Hf: 0.8509 0.8509 0.5360
Zr: 0.4362 0.4362 0.2897
Zr: 0.5638 0.5638 0.7103
Sc: 0.0000 0.0000 0.0000
Sc: 0.2160 0.2160 0.1347
Sc: 0.7840 0.7840 0.8653

***

*ii*
DFT (PBE) results for Hf2Zr2Sc3 after structural relaxation.

a = 7.5501 Å, b = 7.5501 Å, c = 7.5501 Å
α = 109.47°, β = 109.47°, γ = 109.47°
Sites, in units of the cell vectors:
Hf: 0.0000 0.8102 0.5000
Hf: 0.5000 0.0000 0.8102
Hf: 0.6898 0.6898 0.6898
Hf: 0.8102 0.5000 0.0000
Zr: 0.0000 0.4019 0.5000
Zr: 0.0981 0.0981 0.0981
Zr: 0.4019 0.5000 0.0000
Zr: 0.5000 0.0000 0.4019
Sc: 0.1715 0.7500 0.9215
Sc: 0.2500 0.5785 0.3285
Sc: 0.3285 0.2500 0.5785
Sc: 0.5785 0.3285 0.2500
Sc: 0.7500 0.9215 0.1715
Sc: 0.9215 0.1715 0.7500

***

Relative energies with respect to the most stable structure, expressed in meV per atom: *i* 0; *ii* 172.

***

*i*
DFT (PBE) results for Hf2ZrSc2 after structural relaxation.

a = 11.6750 Å, b = 11.6750 Å, c = 4.5045 Å
α = 90.00°, β = 90.00°, γ = 157.74°
Sites, in units of the cell vectors:
Hf: 0.1537 0.8463 0.7500
Hf: 0.2500 0.7500 0.2500
Hf: 0.7500 0.2500 0.7500
Hf: 0.8463 0.1537 0.2500
Zr: 0.3477 0.6523 0.7500
Zr: 0.6523 0.3477 0.2500
Sc: 0.0543 0.9457 0.2500
Sc: 0.4462 0.5538 0.2500
Sc: 0.5538 0.4462 0.7500
Sc: 0.9457 0.0543 0.7500

***

*ii*
DFT (PBE) results for Hf2ZrSc2 after structural relaxation.

a = 7.8121 Å, b = 7.8121 Å, c = 7.8121 Å
α = 149.75°, β = 149.75°, γ = 43.30°
Sites, in units of the cell vectors:
Hf: 0.2500 0.7500 0.5000
Hf: 0.7500 0.2500 0.5000
Zr: 0.0000 0.0000 0.0000
Sc: 0.4055 0.4055 0.0000
Sc: 0.5945 0.5945 0.0000

***

*iii*
DFT (PBE) results for Hf2ZrSc2 after structural relaxation.

a = 13.2725 Å, b = 13.2725 Å, c = 13.2725 Å
α = 13.79°, β = 13.79°, γ = 13.79°
Sites, in units of the cell vectors:
Hf: 0.1981 0.1981 0.1981
Hf: 0.8019 0.8019 0.8019
Zr: 0.0000 0.0000 0.0000
Sc: 0.4005 0.4005 0.4005
Sc: 0.5995 0.5995 0.5995

***

*iv*
DFT (PBE) results for Hf2ZrSc2 after structural relaxation.

a = 8.4158 Å, b = 8.4158 Å, c = 3.2711 Å
α = 90.00°, β = 90.00°, γ = 90.00°
Sites, in units of the cell vectors:
Hf: 0.1746 0.3254 0.0000
Hf: 0.3254 0.8254 0.0000
Hf: 0.6746 0.1746 0.0000
Hf: 0.8254 0.6746 0.0000
Zr: 0.0000 0.0000 0.5000
Zr: 0.5000 0.5000 0.5000
Sc: 0.1242 0.6242 0.5000
Sc: 0.3758 0.1242 0.5000
Sc: 0.6242 0.8758 0.5000
Sc: 0.8758 0.3758 0.5000

***

Relative energies with respect to the most stable structure, expressed in meV per atom: *i* 0; *ii* 412; *iii* 11; *iv* 182.

***

*i*
DFT (PBE) results for Hf2Zr4Sc3 after structural relaxation.

a = 6.3265 Å, b = 7.8675 Å, c = 9.3123 Å
α = 76.45°, β = 70.22°, γ = 78.27°
Sites, in units of the cell vectors:
Hf: 0.0141 0.1730 0.3917
Hf: 0.2967 0.4703 0.1565
Hf: 0.7033 0.5297 0.8435
Hf: 0.9859 0.8270 0.6083
Zr: 0.2162 0.5201 0.8305
Zr: 0.3218 0.8290 0.9513
Zr: 0.4012 0.8677 0.2739
Zr: 0.4793 0.8275 0.6064
Zr: 0.5207 0.1725 0.3936
Zr: 0.5988 0.1323 0.7261
Zr: 0.6782 0.1710 0.0487
Zr: 0.7838 0.4799 0.1695
Sc: 0.0858 0.1663 0.7218
Sc: 0.1688 0.1697 0.0522
Sc: 0.2571 0.5172 0.4774
Sc: 0.7429 0.4828 0.5226
Sc: 0.8312 0.8303 0.9478
Sc: 0.9142 0.8337 0.2782

***

*ii*
DFT (PBE) results for Hf2Zr4Sc3 after structural relaxation.

a = 7.9375 Å, b = 7.9375 Å, c = 5.9761 Å
α = 110.00°, β = 110.00°, γ = 36.93°
Sites, in units of the cell vectors:
Hf: 0.1346 0.1346 0.4673
Hf: 0.8654 0.8654 0.5327
Zr: 0.0750 0.0750 0.8867
Zr: 0.2821 0.2821 0.2097
Zr: 0.7179 0.7179 0.7903
Zr: 0.9250 0.9250 0.1133
Sc: 0.3658 0.3658 0.8009
Sc: 0.5000 0.5000 0.5000
Sc: 0.6342 0.6342 0.1991

***

Relative energies with respect to the most stable structure, expressed in meV per atom: *i* 0; *ii* 36.

***

*i*
DFT (PBE) results for HfZr6Sc2 after structural relaxation.

a = 3.2160 Å, b = 3.2160 Å, c = 23.5781 Å
α = 90.00°, β = 90.00°, γ = 120.00°
Sites, in units of the cell vectors:
Hf: 0.0000 0.0000 0.0000
Zr: 0.0000 0.0000 0.2180
Zr: 0.0000 0.0000 0.4369
Zr: 0.0000 0.0000 0.5631
Zr: 0.0000 0.0000 0.7820
Zr: 0.3333 0.6667 0.1084
Zr: 0.3333 0.6667 0.8916
Sc: 0.3333 0.6667 0.3299
Sc: 0.3333 0.6667 0.6701

***

*ii*
DFT (PBE) results for HfZr6Sc2 after structural relaxation.

a = 8.5848 Å, b = 8.5848 Å, c = 7.9503 Å
α = 103.39°, β = 103.39°, γ = 21.64°
Sites, in units of the cell vectors:
Hf: 0.0000 0.0000 0.0000
Zr: 0.0735 0.0735 0.6664
Zr: 0.2603 0.2603 0.3303
Zr: 0.3358 0.3358 0.0021
Zr: 0.6642 0.6642 0.9979
Zr: 0.7397 0.7397 0.6697
Zr: 0.9265 0.9265 0.3336
Sc: 0.4068 0.4068 0.6712
Sc: 0.5932 0.5932 0.3288

***

Relative energies with respect to the most stable structure, expressed in meV per atom: *i* 14; *ii* 0.

***

*i*
DFT (PBE) results for Hf2ZrSc8 after structural relaxation.

a = 8.4366 Å, b = 8.4366 Å, c = 5.3414 Å
α = 106.59°, β = 106.59°, γ = 121.62°
Sites, in units of the cell vectors:
Hf: 0.1907 0.8093 0.0000
Hf: 0.8093 0.1907 0.0000
Zr: 0.5000 0.5000 0.5000
Sc: 0.0730 0.0730 0.2921
Sc: 0.1553 0.4008 0.8150
Sc: 0.2950 0.7050 0.5000
Sc: 0.4008 0.1553 0.8150
Sc: 0.5992 0.8447 0.1850
Sc: 0.7050 0.2950 0.5000
Sc: 0.8447 0.5992 0.1850
Sc: 0.9270 0.9270 0.7079

***

*ii*
DFT (PBE) results for Hf2ZrSc8 after structural relaxation.

a = 4.5442 Å, b = 7.1903 Å, c = 8.5736 Å
α = 104.44°, β = 105.30°, γ = 90.03°
Sites, in units of the cell vectors:
Hf: 0.0440 0.2265 0.0879
Hf: 0.9560 0.7735 0.9121
Zr: 0.5000 0.5000 0.0000
Sc: 0.1308 0.6738 0.2618
Sc: 0.2245 0.1377 0.4493
Sc: 0.3239 0.5964 0.6472
Sc: 0.4133 0.0471 0.8265
Sc: 0.5867 0.9529 0.1735
Sc: 0.6761 0.4036 0.3528
Sc: 0.7755 0.8623 0.5507
Sc: 0.8692 0.3262 0.7382

***

Relative energies with respect to the most stable structure, expressed in meV per atom: *i* 170; *ii* 0.

***

*i*
DFT (PBE) results for Hf2ZrSc6 after structural relaxation.

a = 7.9504 Å, b = 7.9504 Å, c = 10.7796 Å
α = 124.87°, β = 124.87°, γ = 22.62°
Sites, in units of the cell vectors:
Hf: 0.1739 0.1739 0.3272
Hf: 0.8261 0.8261 0.6728
Zr: 0.5000 0.5000 0.0000
Sc: 0.1148 0.1148 0.5558
Sc: 0.2753 0.2753 0.8856
Sc: 0.4552 0.4552 0.2463
Sc: 0.5448 0.5448 0.7537
Sc: 0.7247 0.7247 0.1144
Sc: 0.8852 0.8852 0.4442

***

*ii*
DFT (PBE) results for Hf2ZrSc6 after structural relaxation.

a = 3.2538 Å, b = 3.2538 Å, c = 23.5298 Å
α = 90.00°, β = 90.00°, γ = 120.00°
Sites, in units of the cell vectors:
Hf: 0.0000 0.0000 0.1700
Hf: 0.0000 0.0000 0.8300
Zr: 0.3333 0.6667 0.5000
Sc: 0.0000 0.0000 0.3913
Sc: 0.0000 0.0000 0.6087
Sc: 0.3333 0.6667 0.0648
Sc: 0.3333 0.6667 0.2771
Sc: 0.3333 0.6667 0.7229
Sc: 0.3333 0.6667 0.9352

***

Relative energies with respect to the most stable structure, expressed in meV per atom: *i* 95; *ii* 0.